A relaxed HfCrSnO6 crystal. Source: Alexandria via LeMat-Bulk, functional PBE with a Hubbard U.

Geometry as POSCAR:
```
HfCrSnO6
1.0
5.166 0.000 0.000
-2.583 4.474 0.000
0.000 0.000 8.996
Hf Cr Sn O
2 2 2 12
direct
0.333 0.667 0.250
0.667 0.333 0.750
0.333 0.667 0.750
0.667 0.333 0.250
0.000 0.000 0.000
0.000 0.000 0.500
0.018 0.351 0.630
0.018 0.667 0.870
0.333 0.351 0.870
0.333 0.982 0.630
0.351 0.018 0.130
0.351 0.333 0.370
0.649 0.667 0.630
0.649 0.982 0.870
0.667 0.018 0.370
0.667 0.649 0.130
0.982 0.333 0.130
0.982 0.649 0.370
```

Summary:
Crystal system = trigonal
Total DFT energy (no corrections) = -7.835 eV/atom